[1]
! KLi2PtF8 (PBE-GGA, optimized geometry); values from VASP
&SYSTEM
  ibrav = 0, nat = 12, ntyp = 4
/
ATOMIC_SPECIES
K 39.10 K.upf
Li 6.94 Li.upf
Pt 195.08 Pt.upf
F 19.00 F.upf
CELL_PARAMETERS angstrom
4.833 0.000 0.000
0.608 4.848 0.000
1.176 0.692 7.224
ATOMIC_POSITIONS crystal
K 0.000 0.000 0.000
Li 0.453 0.468 0.226
Li 0.547 0.532 0.774
Pt 0.000 0.000 0.500
F 0.223 0.805 0.684
F 0.232 0.304 0.468
F 0.264 0.841 0.296
F 0.275 0.453 0.005
F 0.725 0.547 0.995
F 0.736 0.159 0.704
F 0.768 0.696 0.532
F 0.777 0.195 0.316
! energy relative to the elements, uncorrected = -2063 meV/atom
! space-group type = P-1
! energy = -50.7 eV for the cell shown

---

[2]
! K2LiPtF6 (PBE-GGA, optimized geometry); values from VASP
&SYSTEM
  ibrav = 0, nat = 10, ntyp = 4
/
ATOMIC_SPECIES
K 39.10 K.upf
Li 6.94 Li.upf
Pt 195.08 Pt.upf
F 19.00 F.upf
CELL_PARAMETERS angstrom
5.824 0.000 0.000
-2.912 5.044 0.000
0.000 0.000 5.330
ATOMIC_POSITIONS crystal
K 0.333 0.667 0.210
K 0.667 0.333 0.790
Li 0.000 0.000 0.000
Pt 0.000 0.000 0.500
F 0.157 0.313 0.757
F 0.157 0.843 0.757
F 0.313 0.157 0.243
F 0.687 0.843 0.757
F 0.843 0.157 0.243
F 0.843 0.687 0.243
! energy relative to the elements, uncorrected = -2167 meV/atom
! space-group type = P-3m1
! energy = -43.0 eV for the cell shown

---

[3]
! KLiPuF6 (PBE-GGA, optimized geometry); values from VASP
&SYSTEM
  ibrav = 0, nat = 18, ntyp = 4
/
ATOMIC_SPECIES
K 39.10 K.upf
Li 6.94 Li.upf
Pu 244.00 Pu.upf
F 19.00 F.upf
CELL_PARAMETERS angstrom
5.652 0.000 0.000
-2.826 4.895 0.000
0.000 0.000 11.452
ATOMIC_POSITIONS crystal
K 0.000 0.000 0.000
K 0.000 0.000 0.500
Li 0.333 0.667 0.250
Li 0.667 0.333 0.750
Pu 0.333 0.667 0.750
Pu 0.667 0.333 0.250
F 0.007 0.372 0.149
F 0.007 0.635 0.351
F 0.365 0.372 0.351
F 0.365 0.993 0.149
F 0.372 0.007 0.649
F 0.372 0.365 0.851
F 0.628 0.635 0.149
F 0.628 0.993 0.351
F 0.635 0.007 0.851
F 0.635 0.628 0.649
F 0.993 0.365 0.649
F 0.993 0.628 0.851
! energy relative to the elements, uncorrected = -3244 meV/atom
! space-group type = P-31c
! energy = -115.5 eV for the cell shown

---

[4]
! K2LiPu3F12 (PBE-GGA, optimized geometry); values from VASP
&SYSTEM
  ibrav = 0, nat = 18, ntyp = 4
/
ATOMIC_SPECIES
K 39.10 K.upf
Li 6.94 Li.upf
Pu 244.00 Pu.upf
F 19.00 F.upf
CELL_PARAMETERS angstrom
4.114 2.375 6.417
-4.114 2.375 6.417
0.000 -4.751 6.417
ATOMIC_POSITIONS crystal
K 0.114 0.114 0.114
K 0.886 0.886 0.886
Li 0.500 0.500 0.500
Pu 0.000 0.500 0.500
Pu 0.500 0.000 0.500
Pu 0.500 0.500 0.000
F 0.152 0.152 0.592
F 0.152 0.592 0.152
F 0.199 0.562 0.562
F 0.408 0.848 0.848
F 0.438 0.438 0.801
F 0.438 0.801 0.438
F 0.562 0.199 0.562
F 0.562 0.562 0.199
F 0.592 0.152 0.152
F 0.801 0.438 0.438
F 0.848 0.408 0.848
F 0.848 0.848 0.408
! energy relative to the elements, uncorrected = -3215 meV/atom
! space-group type = R-3m
! energy = -127.4 eV for the cell shown

---

[5]
! KRb3Li2F6 (PBE-GGA, optimized geometry); values from VASP
&SYSTEM
  ibrav = 0, nat = 12, ntyp = 4
/
ATOMIC_SPECIES
K 39.10 K.upf
Rb 85.47 Rb.upf
Li 6.94 Li.upf
F 19.00 F.upf
CELL_PARAMETERS angstrom
6.458 0.000 0.000
-3.229 5.593 0.000
0.000 0.000 7.253
ATOMIC_POSITIONS crystal
K 0.000 0.000 0.000
Rb 0.000 0.000 0.500
Rb 0.333 0.667 0.150
Rb 0.667 0.333 0.850
Li 0.333 0.667 0.726
Li 0.667 0.333 0.274
F 0.178 0.356 0.775
F 0.178 0.822 0.775
F 0.356 0.178 0.225
F 0.644 0.822 0.775
F 0.822 0.178 0.225
F 0.822 0.644 0.225
! energy relative to the elements, uncorrected = -2678 meV/atom
! space-group type = P-3m1
! energy = -51.2 eV for the cell shown

---

[6]
! KRbLiF4 (PBE-GGA, optimized geometry); values from VASP
&SYSTEM
  ibrav = 0, nat = 14, ntyp = 4
/
ATOMIC_SPECIES
K 39.10 K.upf
Rb 85.47 Rb.upf
Li 6.94 Li.upf
F 19.00 F.upf
CELL_PARAMETERS angstrom
2.849 -6.942 0.000
2.849 6.942 0.000
0.000 0.000 5.766
ATOMIC_POSITIONS crystal
K 0.113 0.887 0.750
K 0.887 0.113 0.250
Rb 0.395 0.605 0.750
Rb 0.605 0.395 0.250
Li 0.249 0.751 0.250
Li 0.751 0.249 0.750
F 0.000 0.500 0.000
F 0.000 0.500 0.500
F 0.088 0.912 0.250
F 0.401 0.599 0.250
F 0.500 0.000 0.000
F 0.500 0.000 0.500
F 0.599 0.401 0.750
F 0.912 0.088 0.750
! energy relative to the elements, uncorrected = -2382 meV/atom
! space-group type = Cmcm
! energy = -56.3 eV for the cell shown

---

[7]
! KRb2LiF4 (PBE-GGA, optimized geometry); values from VASP
&SYSTEM
  ibrav = 0, nat = 16, ntyp = 4
/
ATOMIC_SPECIES
K 39.10 K.upf
Rb 85.47 Rb.upf
Li 6.94 Li.upf
F 19.00 F.upf
CELL_PARAMETERS angstrom
1.882 -6.349 0.000
1.882 6.349 0.000
0.000 0.000 13.660
ATOMIC_POSITIONS crystal
K 0.116 0.884 0.750
K 0.884 0.116 0.250
Rb 0.363 0.637 0.548
Rb 0.363 0.637 0.952
Rb 0.637 0.363 0.048
Rb 0.637 0.363 0.452
Li 0.178 0.822 0.250
Li 0.822 0.178 0.750
F 0.000 0.000 0.000
F 0.000 0.000 0.500
F 0.273 0.727 0.144
F 0.273 0.727 0.356
F 0.398 0.602 0.750
F 0.602 0.398 0.250
F 0.727 0.273 0.644
F 0.727 0.273 0.856
! energy relative to the elements, uncorrected = -2677 meV/atom
! space-group type = Cmcm
! energy = -67.7 eV for the cell shown

---

[8]
! K2RbLiF (PBE-GGA, optimized geometry); values from VASP
&SYSTEM
  ibrav = 0, nat = 5, ntyp = 4
/
ATOMIC_SPECIES
K 39.10 K.upf
Rb 85.47 Rb.upf
Li 6.94 Li.upf
F 19.00 F.upf
CELL_PARAMETERS angstrom
5.663 0.000 0.000
0.000 5.663 0.000
0.000 0.000 6.021
ATOMIC_POSITIONS crystal
K 0.000 0.500 0.000
K 0.500 0.000 0.000
Rb 0.000 0.000 0.500
Li 0.500 0.500 0.500
F 0.000 0.000 0.000
! ΔE to the lowest computed polymorph = 0.00 eV/f.u.
! energy relative to the elements, uncorrected = -945 meV/atom
! space-group type = P4/mmm
! energy = -11.7 eV for the cell shown

---

[9]
! KRbLiF3 (PBE-GGA, optimized geometry); values from VASP
&SYSTEM
  ibrav = 0, nat = 12, ntyp = 4
/
ATOMIC_SPECIES
K 39.10 K.upf
Rb 85.47 Rb.upf
Li 6.94 Li.upf
F 19.00 F.upf
CELL_PARAMETERS angstrom
7.076 -2.043 0.000
7.076 2.043 0.000
-2.040 0.000 7.339
ATOMIC_POSITIONS crystal
K 0.151 0.151 0.074
K 0.849 0.849 0.926
Rb 0.149 0.149 0.575
Rb 0.851 0.851 0.425
Li 0.499 0.499 0.234
Li 0.501 0.501 0.766
F 0.001 0.001 0.765
F 0.354 0.354 0.167
F 0.356 0.356 0.690
F 0.644 0.644 0.310
F 0.646 0.646 0.833
F 0.999 0.999 0.235
! energy relative to the elements, uncorrected = -2705 meV/atom
! space-group type = C2/m
! energy = -51.6 eV for the cell shown

---

[10]
! K2RbLiF (PBE-GGA, optimized geometry); values from VASP
&SYSTEM
  ibrav = 0, nat = 5, ntyp = 4
/
ATOMIC_SPECIES
K 39.10 K.upf
Rb 85.47 Rb.upf
Li 6.94 Li.upf
F 19.00 F.upf
CELL_PARAMETERS angstrom
7.624 0.000 0.000
0.000 7.624 0.000
0.000 0.000 4.885
ATOMIC_POSITIONS crystal
K 0.000 0.500 0.000
K 0.500 0.000 0.000
Rb 0.000 0.000 0.000
Li 0.500 0.500 0.500
F 0.000 0.000 0.500
! ΔE to the lowest computed polymorph = 1.54 eV/f.u.
! energy relative to the elements, uncorrected = -637 meV/atom
! space-group type = P4/mmm
! energy = -10.1 eV for the cell shown

---

Q: The highest energy belongs to which entry?
A: number 10